1 | A plane-wave DFT calculation with PBE was carried out for a relaxed HgSbAs crystal.

Unit cell a=3.9396 b=5.5773 c=14.3529 alpha=90.00 beta=90.00 gamma=90.00
Closest atoms and distances in Å follow each position.
Space group Fmm2 (No. 42)
Asymmetric unit:
Hg 0.0000 0.0000 0.0000 (multiplicity 4)  2 As 3.17, 2 Sb 3.39, 4 Hg 3.41
Sb 0.0000 0.0000 0.3074 (multiplicity 4)  2 As 2.76
As 0.0000 0.0000 0.6727 (multiplicity 4)  2 Sb 2.76

Computed properties:
The calculation puts the magnetic moment at 0.00 Bohr magnetons per cell. For the density of states at the Fermi level, the calculation gives 6.2 states/eV/cell.

=====

2 | A plane-wave DFT calculation with PBE was carried out for a relaxed HgSbAs crystal.

Unit cell a=4.0714 b=4.0714 c=5.8393 alpha=90.00 beta=90.00 gamma=120.00
Closest atoms and distances in Å follow each position.
Space group P3m1 (No. 156)
Asymmetric unit:
Hg 0.0000 0.0000 0.0000 (multiplicity 1)  3 As 3.15, 3 Sb 3.28
Sb 0.6667 0.3333 0.3918 (multiplicity 1)  3 As 2.76
As 0.3333 0.6667 0.6411 (multiplicity 1)  3 Sb 2.76

Computed properties:
The calculation puts the magnetic moment at 0.00 Bohr magnetons per cell. For the density of states at the Fermi level, the calculation gives 1.2 states/eV/cell.

=====

3 | A plane-wave DFT calculation with PBE was carried out for a relaxed HgSbAs crystal.

Unit cell a=3.5404 b=3.5404 c=13.3586 alpha=90.00 beta=90.00 gamma=90.00
Closest atoms and distances in Å follow each position.
Space group I4mm (No. 107)
Asymmetric unit:
Hg 0.0000 0.0000 0.0000 (multiplicity 2)  4 Hg 3.54, 4 As 3.59, 5 Sb 3.72-3.93
Sb 0.0000 0.0000 0.2940 (multiplicity 2)  4 As 2.85
As 0.0000 0.0000 0.6926 (multiplicity 2)  4 Sb 2.85

Computed properties:
The calculation puts the magnetic moment at 0.00 Bohr magnetons per cell. For the density of states at the Fermi level, the calculation gives 2.9 states/eV/cell.

=====

4 | A plane-wave DFT calculation with PBE was carried out for a relaxed HgSbAs crystal.

Unit cell a=11.1544 b=3.4766 c=8.8901 alpha=90.00 beta=99.35 gamma=90.00
Closest atoms and distances in Å follow each position.
Space group C2/m (No. 12)
Asymmetric unit:
Hg 0.0995 0.0000 0.3162 (multiplicity 4)  3 Sb 2.96-3.14
Sb 0.1341 0.5000 0.6781 (multiplicity 4)  1 As 2.71, 1 Hg 2.96
As 0.1698 0.5000 0.9874 (multiplicity 4)  2 As 2.48, 1 Sb 2.71

Computed properties:
The calculation puts the magnetic moment at 0.00 Bohr magnetons per cell. For the density of states at the Fermi level, the calculation gives 4.4 states/eV/cell.

=====

It turns out 2 is the most stable, with the second structure 5.0 kJ/mol of atoms higher.

=====

1 | A plane-wave DFT calculation with PBE was carried out for a relaxed HgSbAs crystal.

Unit cell a=5.2033 b=5.2033 c=3.1125 alpha=90.00 beta=90.00 gamma=120.00
Closest atoms and distances in Å follow each position.
Space group P3m1 (No. 156)
Asymmetric unit:
Hg 0.0000 0.0000 0.0000 (multiplicity 1)  2 Hg 3.11, 6 As 3.37-3.39, 6 Sb 3.38-3.39
Sb 0.6667 0.3333 0.4945 (multiplicity 1)  3 As 3.00, 2 Sb 3.11
As 0.3333 0.6667 0.4935 (multiplicity 1)  3 Sb 3.00, 2 As 3.11

Computed properties:
The calculation puts the magnetic moment at 0.00 Bohr magnetons per cell. For the density of states at the Fermi level, the calculation gives 1.4 states/eV/cell.

=====

2 | A plane-wave DFT calculation with PBE was carried out for a relaxed HgSbAs crystal.

Unit cell a=6.9679 b=6.9679 c=6.9679 alpha=90.00 beta=90.00 gamma=90.00
Closest atoms and distances in Å follow each position.
Space group F-43m (No. 216)
Asymmetric unit:
Hg 0.0000 0.0000 0.0000 (multiplicity 4)  4 As 3.02
Sb 0.0000 0.0000 0.5000 (multiplicity 4)  4 As 3.02
As 0.2500 0.2500 0.7500 (multiplicity 4)  4 Sb 3.02, 4 Hg 3.02

Computed properties:
The calculation puts the magnetic moment at 0.00 Bohr magnetons per cell. For the density of states at the Fermi level, the calculation gives 7.8 states/eV/cell.

=====

3 | A plane-wave DFT calculation with PBE was carried out for a relaxed HgSbAs crystal.

Unit cell a=3.8705 b=3.8705 c=22.9465 alpha=90.00 beta=90.00 gamma=120.00
Closest atoms and distances in Å follow each position.
Space group R3m (No. 160, hexagonal axes)
Asymmetric unit:
Hg 0.0000 0.0000 0.0000 (multiplicity 3)  3 As 3.73, 3 Sb 3.85, 6 Hg 3.87
Sb 0.0000 0.0000 0.5298 (multiplicity 3)  3 As 2.70
As 0.0000 0.0000 0.7968 (multiplicity 3)  3 Sb 2.70

Computed properties:
The calculation puts the magnetic moment at 0.00 Bohr magnetons per cell. For the density of states at the Fermi level, the calculation gives 0.4 states/eV/cell.

=====

It turns out 3 is the most stable, with the second structure 19.5 kJ/mol of atoms higher.

=====

1 | A plane-wave DFT calculation with PBE was carried out for a relaxed HgSb2As2 crystal.

Unit cell a=8.1640 b=8.1640 c=3.8323 alpha=90.00 beta=90.00 gamma=90.00
Closest atoms and distances in Å follow each position.
Space group P4/mbm (No. 127)
Asymmetric unit:
Hg 0.0000 0.0000 0.0000 (multiplicity 2)  4 As 3.00
Sb 0.1535 0.3465 0.5000 (multiplicity 4)  2 As 2.73
As 0.1777 0.6777 0.0000 (multiplicity 4)  2 Sb 2.73, 2 Hg 3.00

Computed properties:
The calculation puts the magnetic moment at 0.00 Bohr magnetons per cell. For the density of states at the Fermi level, the calculation gives 6.2 states/eV/cell.

=====

2 | A plane-wave DFT calculation with PBE was carried out for a relaxed HgSb2As2 crystal.

Unit cell a=7.2443 b=6.9363 c=6.3167 alpha=90.00 beta=112.02 gamma=90.00
Closest atoms and distances in Å follow each position.
Space group C2/m (No. 12)
Asymmetric unit:
Hg 0.0000 0.0000 0.0000 (multiplicity 2)  2 Sb 3.43, 4 As 3.60
Sb 0.1725 0.5000 0.2765 (multiplicity 4)  4 As 2.81-2.85
As 0.0000 0.2498 0.5000 (multiplicity 4)  4 Sb 2.81-2.85

Computed properties:
The calculation puts the magnetic moment at 0.00 Bohr magnetons per cell. For the density of states at the Fermi level, the calculation gives 2.5 states/eV/cell.

=====

3 | A plane-wave DFT calculation with PBE was carried out for a relaxed HgSb2As2 crystal.

Unit cell a=8.1420 b=8.1420 c=3.7456 alpha=90.00 beta=90.00 gamma=90.00
Closest atoms and distances in Å follow each position.
Space group P4/mbm (No. 127)
Asymmetric unit:
Hg 0.0000 0.0000 0.0000 (multiplicity 2)  4 Sb 3.10
Sb 0.1505 0.3495 0.0000 (multiplicity 4)  6 As 3.01-3.05, 2 Hg 3.10
As 0.1450 0.6450 0.5000 (multiplicity 4)  6 Sb 3.01-3.05, 1 As 3.34

Computed properties:
The calculation puts the magnetic moment at 0.00 Bohr magnetons per cell. For the density of states at the Fermi level, the calculation gives 6.4 states/eV/cell.

=====

It turns out 2 is the most stable, with the second structure 8.0 kJ/mol of atoms higher.